(1)
Below is a geometry-optimized CsBa8Au5 structure, with properties calculated at the PBE level.

Lattice parameters (Å, degrees): 12.6963 12.6963 11.9184 102.72 102.72 22.02
Closest atoms and distances in Å follow each position.
Element x y z (fractional)
Cs: 0.0000 0.0000 0.0000  2 Cs 4.85, 10 Ba 4.89-5.01
Ba: 0.0739 0.0739 0.6532  4 Au 3.29-3.38
Ba: 0.2611 0.2611 0.3358  5 Au 3.34-3.39
Ba: 0.3244 0.3244 0.0038  3 Au 3.28-3.31
Ba: 0.4028 0.4028 0.6490  3 Au 3.27-3.31
Ba: 0.5972 0.5972 0.3510  3 Au 3.27-3.31
Ba: 0.6756 0.6756 0.9962  3 Au 3.28-3.31
Ba: 0.7389 0.7389 0.6642  5 Au 3.34-3.39
Ba: 0.9261 0.9261 0.3468  4 Au 3.29-3.38
Au: 0.1680 0.1680 0.4982  6 Ba 3.27-3.37
Au: 0.2009 0.2009 0.8296  6 Ba 3.28-3.39
Au: 0.5000 0.5000 0.5000  6 Ba 3.31-3.33
Au: 0.7991 0.7991 0.1704  6 Ba 3.28-3.39
Au: 0.8320 0.8320 0.5018  6 Ba 3.27-3.37

**Energy of formation**: -0.521 eV/atom

---

(2)
Below is a geometry-optimized K2HfCdSi structure, with properties calculated at the PBE level.

Lattice parameters (Å, degrees): 7.1691 7.1691 5.0049 90.00 90.00 90.00
Closest atoms and distances in Å follow each position.
Element x y z (fractional)
K: 0.0000 0.5000 0.0000  2 Hf 3.58
K: 0.5000 0.0000 0.0000  2 Hf 3.58
Hf: 0.0000 0.0000 0.0000  2 Si 2.50
Cd: 0.5000 0.5000 0.5000  8 K 4.37
Si: 0.0000 0.0000 0.5000  2 Hf 2.50

**ΔE_f (raw)**: 0.80 eV/atom

---

(3)
Below is a geometry-optimized CsSr3Br structure, with properties calculated at the PBE level.

Lattice parameters (Å, degrees): 8.1449 8.1449 8.1449 90.00 90.00 90.00
Closest atoms and distances in Å follow each position.
Element x y z (fractional)
Cs: 0.0000 0.0000 0.0000  6 Sr 4.07
Sr: 0.0000 0.0000 0.5000  2 Cs 4.07
Sr: 0.0000 0.5000 0.0000  2 Cs 4.07
Sr: 0.5000 0.0000 0.0000  2 Cs 4.07
Br: 0.5000 0.5000 0.5000  12 Sr 5.76

**ΔE_f (raw)**: 0.54 eV/atom